## ScMo2O (PBE+U)

Data for a relaxed ScMo2O crystal.

Structure (POSCAR):
```
ScMo2O
1.0
7.3919 0.0000 0.0000
0.0000 7.3919 0.0000
0.0000 0.0000 4.5053
Sc Mo O
4 8 4
Direct
0.0000 0.0000 0.0000
0.0000 0.5000 0.2500
0.5000 0.0000 0.7500
0.5000 0.5000 0.5000
0.1362 0.2500 0.6250
0.2500 0.6362 0.8750
0.2500 0.8638 0.3750
0.3638 0.2500 0.1250
0.6362 0.7500 0.1250
0.7500 0.1362 0.3750
0.7500 0.3638 0.8750
0.8638 0.7500 0.6250
0.0000 0.0000 0.5000
0.0000 0.5000 0.7500
0.5000 0.0000 0.2500
0.5000 0.5000 0.0000
```

Values from the calculation:
electronic total energy = -6.24 eV/atom
mass density = 6.82 g/cm³
DOS(E_F) = 8.83 states/eV/cell
space group = I-42d, No. 122